[1]
First-principles (PBE) data for crystalline NaNdEu2 at its relaxed geometry, as listed in Alexandria via LeMat-Bulk.

The value obtained for the energy above the most stable polymorph in this dataset is 69 meV per atom.

It has space group P4/mmm (No. 123), with a = 6.237 Å, b = 6.237 Å, c = 3.965 Å, α = 90.00°, β = 90.00° and γ = 90.00°. The asymmetric unit holds Na at (0.000, 0.000, 0.000), Nd at (0.500, 0.500, 0.000) and Eu at (0.000, 0.500, 0.500).


[2]
First-principles (PBE) data for crystalline NaNdEu at its relaxed geometry, as listed in Alexandria via LeMat-Bulk.

The value obtained for the energy above the most stable polymorph in this dataset is 0 meV per atom.

It has space group P3m1 (No. 156), with a = 3.7186 Å, b = 3.7186 Å, c = 9.4852 Å, α = 90.00°, β = 90.00° and γ = 120.00°. The asymmetric unit holds Na at (0.0000, 0.0000, 0.0000), Nd at (0.3333, 0.6667, 0.6674) and Eu at (0.6667, 0.3333, 0.3489).


[3]
First-principles (PBE) data for crystalline NaNdEu at its relaxed geometry, as listed in Alexandria via LeMat-Bulk.

The value obtained for the energy above the most stable polymorph in this dataset is 29 meV per atom.

It has space group I4mm (No. 107), with a = 3.633 Å, b = 3.633 Å, c = 17.118 Å, α = 90.00°, β = 90.00° and γ = 90.00°. The asymmetric unit holds Na at (0.000, 0.000, 0.000), Nd at (0.000, 0.000, 0.665) and Eu at (0.000, 0.000, 0.325).


[4]
First-principles (PBE) data for crystalline NaNdEuPb at its relaxed geometry, as listed in Alexandria via LeMat-Bulk.

The calculation puts the total DFT energy (no corrections) at -5.27 eV/atom.

It has space group F-43m (No. 216), with a = 7.960 Å, b = 7.960 Å, c = 7.960 Å, α = 90.00°, β = 90.00° and γ = 90.00°. The asymmetric unit holds Na at (0.000, 0.000, 0.000), Nd at (0.250, 0.250, 0.250), Eu at (0.250, 0.250, 0.750) and Pb at (0.000, 0.000, 0.500).


[5]
First-principles (PBE) data for crystalline NaNdEuSn at its relaxed geometry, as listed in Alexandria via LeMat-Bulk.

The calculation puts the total DFT energy (no corrections) at -5.44 eV/atom.

It has space group F-43m (No. 216), with a = 7.873 Å, b = 7.873 Å, c = 7.873 Å, α = 90.00°, β = 90.00° and γ = 90.00°. The asymmetric unit holds Na at (0.000, 0.000, 0.000), Nd at (0.250, 0.250, 0.750), Eu at (0.250, 0.250, 0.250) and Sn at (0.000, 0.000, 0.500).


[6]
First-principles (PBE) data for crystalline NaNdEuTl at its relaxed geometry, as listed in Alexandria via LeMat-Bulk.

The calculation puts the total DFT energy (no corrections) at -4.80 eV/atom.

It has space group F-43m (No. 216), with a = 7.977 Å, b = 7.977 Å, c = 7.977 Å, α = 90.00°, β = 90.00° and γ = 90.00°. The asymmetric unit holds Na at (0.000, 0.000, 0.000), Nd at (0.250, 0.250, 0.750), Eu at (0.250, 0.250, 0.250) and Tl at (0.000, 0.000, 0.500).